# MoAsF2 | the Alexandria database | GGA+U | relaxed
# **Offset from the most stable computed form**: 0.5859 eV per atom
# **Space-group type**: Fm-3m
# **Calculated volume**: 60 Å³ per cell
# **M_tot**: 3.17 μB/f.u.
data_MoAsF2
_chemical_formula_sum 'Mo1 As1 F2'
_space_group_name_H-M_alt 'P 1'
_space_group_IT_number 1
_space_group_name_Hall 'P 1'
_cell_length_a 4.384
_cell_length_b 4.384
_cell_length_c 4.384
_cell_angle_alpha 60.00
_cell_angle_beta 60.00
_cell_angle_gamma 60.00
loop_
_atom_site_label
_atom_site_type_symbol
_atom_site_fract_x
_atom_site_fract_y
_atom_site_fract_z
Mo1 Mo 0.000 0.000 0.000
As1 As 0.500 0.500 0.500
F1 F 0.250 0.250 0.250
F2 F 0.750 0.750 0.750